--- i ---
A plane-wave DFT calculation with PBE-GGA was carried out for a relaxed structure of La2Pm3Pr7.

a = 3.6385 Å, b = 6.6032 Å, c = 18.6357 Å
α = 75.45°, β = 90.00°, γ = 90.00°
With the nearest neighbours (Å) after each atom.
Element x y z (fractional)
La (0.5000, 0.6112, 0.3307)  5 Pr 3.49-3.68, 2 La 3.64, 4 Pm 3.72-3.83
La (0.5000, 0.3888, 0.6693)  5 Pr 3.49-3.68, 2 La 3.64, 4 Pm 3.72-3.83
Pm (0.5000, 0.5000, 0.0000)  2 Pm 3.64, 10 Pr 3.68-3.77
Pm (0.0000, 0.1139, 0.3398)  2 Pm 3.64, 4 La 3.72-3.83, 7 Pr 3.74-3.80
Pm (0.0000, 0.8861, 0.6602)  2 Pm 3.64, 4 La 3.72-3.83, 7 Pr 3.74-3.80
Pr (0.5000, 0.2405, 0.5024)  2 Pr 3.20-3.41, 2 La 3.49-3.51
Pr (0.5000, 0.7595, 0.4976)  2 Pr 3.20-3.41, 2 La 3.49-3.51
Pr (0.0000, 0.5592, 0.1650)  7 Pr 3.64-3.79, 2 La 3.68, 3 Pm 3.68-3.80
Pr (0.0000, 0.0000, 0.0000)  8 Pr 3.64-3.72, 4 Pm 3.77
Pr (0.0000, 0.4408, 0.8350)  7 Pr 3.64-3.79, 2 La 3.68, 3 Pm 3.68-3.80
Pr (0.5000, 0.9400, 0.8324)  8 Pr 3.64-3.79, 1 La 3.67, 3 Pm 3.69-3.78
Pr (0.5000, 0.0600, 0.1676)  8 Pr 3.64-3.79, 1 La 3.67, 3 Pm 3.69-3.78

---

--- ii ---
A plane-wave DFT calculation with PBE-GGA was carried out for a relaxed structure of La2Pm3Pr7.

a = 3.6781 Å, b = 6.0827 Å, c = 19.5211 Å
α = 93.16°, β = 90.00°, γ = 90.00°
With the nearest neighbours (Å) after each atom.
Element x y z (fractional)
La (0.5000, 0.7028, 0.2967)  3 Pr 3.27-3.50
La (0.5000, 0.2972, 0.7033)  3 Pr 3.27-3.50
Pm (0.5000, 0.5000, 0.0000)  8 Pr 3.48-3.55, 2 Pm 3.68
Pm (0.0000, 0.2143, 0.3686)  2 Pm 3.68, 6 Pr 3.74-4.07, 4 La 3.81-3.83
Pm (0.0000, 0.7857, 0.6314)  2 Pm 3.68, 6 Pr 3.74-4.07, 4 La 3.81-3.83
Pr (0.5000, 0.7428, 0.4642)  1 La 3.27, 2 Pr 3.34-3.36
Pr (0.5000, 0.2572, 0.5358)  1 La 3.27, 2 Pr 3.34-3.36
Pr (0.0000, 0.6812, 0.1436)  2 Pm 3.48, 7 Pr 3.50-3.68, 2 La 3.50
Pr (0.0000, 0.0000, 0.0000)  4 Pr 3.50-3.68, 4 Pm 3.55
Pr (0.0000, 0.3188, 0.8564)  2 Pm 3.48, 7 Pr 3.50-3.68, 2 La 3.50
Pr (0.5000, 0.8173, 0.8233)  8 Pr 3.59-4.01, 2 La 3.83-3.84
Pr (0.5000, 0.1827, 0.1767)  8 Pr 3.59-4.01, 2 La 3.83-3.84

---

Most stable pick: i. Distance to second place: 19 meV per atom.

---

--- i ---
A plane-wave DFT calculation with PBE-GGA was carried out for a relaxed structure of La5Pm3Pr2.

a = 8.6574 Å, b = 10.7801 Å, c = 10.7801 Å
α = 55.44°, β = 66.33°, γ = 66.33°
With the nearest neighbours (Å) after each atom.
Element x y z (fractional)
La (0.2500, 0.5000, 0.5000)  4 La 3.25
La (0.7500, 0.5000, 0.5000)  4 La 3.25
La (0.5053, 0.7447, 0.7447)  2 La 3.04, 2 Pr 3.33
La (0.9947, 0.2553, 0.2553)  2 La 3.04, 2 Pr 3.33
La (0.4947, 0.2553, 0.2553)  2 La 3.04, 2 Pr 3.33
La (0.0053, 0.7447, 0.7447)  2 La 3.04, 2 Pr 3.33
La (0.1317, 0.4616, 0.2750)  1 Pr 2.94, 4 La 3.04-3.25
La (0.8683, 0.5384, 0.7250)  1 Pr 2.94, 4 La 3.04-3.25
La (0.6317, 0.2750, 0.4616)  1 Pr 2.94, 4 La 3.04-3.25
La (0.3683, 0.7250, 0.5384)  1 Pr 2.94, 4 La 3.04-3.25
Pm (0.2500, 0.0000, 0.0000)  4 Pr 3.21
Pm (0.7500, 0.0000, 0.0000)  4 Pr 3.21
Pm (0.3779, 0.3650, 0.8792)  1 La 3.52, 1 Pr 3.58, 2 Pm 3.86
Pm (0.6221, 0.6350, 0.1208)  1 La 3.52, 1 Pr 3.58, 2 Pm 3.86
Pm (0.8779, 0.8792, 0.3650)  1 La 3.52, 1 Pr 3.58, 2 Pm 3.86
Pm (0.1221, 0.1208, 0.6350)  1 La 3.52, 1 Pr 3.58, 2 Pm 3.86
Pr (0.1225, 0.7635, 0.9915)  1 La 2.94, 2 Pm 3.21
Pr (0.8775, 0.2365, 0.0085)  1 La 2.94, 2 Pm 3.21
Pr (0.6225, 0.9915, 0.7635)  1 La 2.94, 2 Pm 3.21
Pr (0.3775, 0.0085, 0.2365)  1 La 2.94, 2 Pm 3.21

---

--- ii ---
A plane-wave DFT calculation with PBE-GGA was carried out for a relaxed structure of La5Pm3Pr2.

a = 10.3499 Å, b = 10.3341 Å, c = 11.4398 Å
α = 129.50°, β = 129.53°, γ = 65.94°
With the nearest neighbours (Å) after each atom.
Element x y z (fractional)
La (0.2737, 0.5237, 0.0474)  1 La 3.10, 2 Pm 3.45
La (0.7263, 0.4763, 0.9526)  1 La 3.10, 2 Pm 3.45
La (0.0257, 0.7757, 0.5514)  1 Pm 3.09
La (0.5183, 0.2683, 0.5367)  1 La 3.10, 2 Pr 3.45
La (0.9743, 0.2243, 0.4486)  1 Pm 3.09
La (0.4817, 0.7317, 0.4633)  1 La 3.10, 2 Pr 3.45
La (0.8807, 0.6290, 0.7543)  3 Pm 3.51-3.89, 3 La 3.56-3.61, 1 Pr 3.87
La (0.1193, 0.3710, 0.2457)  3 Pm 3.51-3.89, 3 La 3.56-3.61, 1 Pr 3.87
La (0.3736, 0.1253, 0.7543)  3 Pm 3.51-3.89, 3 La 3.56-3.61, 1 Pr 3.87
La (0.6264, 0.8747, 0.2457)  3 Pm 3.51-3.89, 3 La 3.56-3.61, 1 Pr 3.87
Pm (0.2327, 0.9827, 0.9654)  1 La 3.09, 2 Pr 3.42
Pm (0.7673, 0.0173, 0.0346)  1 La 3.09, 2 Pr 3.42
Pm (0.7223, 0.4721, 0.2493)  1 Pr 3.33, 5 La 3.45-3.65, 1 Pm 3.65
Pm (0.2777, 0.5279, 0.7507)  1 Pr 3.33, 5 La 3.45-3.65, 1 Pm 3.65
Pm (0.0271, 0.7772, 0.2493)  1 Pr 3.33, 5 La 3.45-3.65, 1 Pm 3.65
Pm (0.9729, 0.2228, 0.7507)  1 Pr 3.33, 5 La 3.45-3.65, 1 Pm 3.65
Pr (0.7819, 0.0318, 0.7527)  3 Pm 3.33-3.62, 4 La 3.45-3.63
Pr (0.2181, 0.9682, 0.2473)  3 Pm 3.33-3.62, 4 La 3.45-3.63
Pr (0.4708, 0.7209, 0.7527)  3 Pm 3.33-3.62, 4 La 3.45-3.63
Pr (0.5292, 0.2791, 0.2473)  3 Pm 3.33-3.62, 4 La 3.45-3.63

---

Most stable pick: ii. Distance to second place: 200 meV per atom.

---

--- i ---
A plane-wave DFT calculation with PBE-GGA was carried out for a relaxed structure of La2Pm5Pr12.

a = 9.4778 Å, b = 12.7182 Å, c = 8.9840 Å
α = 132.45°, β = 90.00°, γ = 111.88°
With the nearest neighbours (Å) after each atom.
Element x y z (fractional)
La (0.6660, 0.0000, 0.0000)  1 La 3.15, 2 Pr 3.48
La (0.3340, 0.0000, 0.0000)  1 La 3.15, 2 Pr 3.48
Pm (0.2866, 0.5732, 0.6141)  8 Pr 3.54-3.88, 1 Pm 3.60, 2 La 3.80
Pm (0.2324, 0.4649, 0.8992)  7 Pr 3.43-3.73, 2 Pm 3.60-3.79
Pm (0.0000, 0.0000, 0.5000)  10 Pr 3.54-3.90, 2 Pm 3.79
Pm (0.7676, 0.5351, 0.1008)  7 Pr 3.43-3.73, 2 Pm 3.60-3.79
Pm (0.7134, 0.4268, 0.3859)  8 Pr 3.54-3.88, 1 Pm 3.60, 2 La 3.80
Pr (0.0705, 0.1410, 0.2619)  3 Pr 3.23-3.53, 2 Pm 3.54, 2 La 3.55
Pr (0.0324, 0.7042, 0.9464)  3 Pr 3.42-3.60, 1 La 3.48, 3 Pm 3.58-3.82
Pr (0.6717, 0.7042, 0.9464)  3 Pr 3.42-3.60, 1 La 3.48, 3 Pm 3.58-3.82
Pr (0.1701, 0.7353, 0.4205)  4 Pm 3.49-3.90, 5 Pr 3.53-3.75, 1 La 3.65
Pr (0.5653, 0.7353, 0.4205)  4 Pm 3.49-3.90, 5 Pr 3.53-3.75, 1 La 3.65
Pr (0.5593, 0.1186, 0.7712)  7 Pr 3.43-3.71, 2 Pm 3.43-3.81, 2 La 3.58
Pr (0.4407, 0.8814, 0.2288)  7 Pr 3.43-3.71, 2 Pm 3.43-3.81, 2 La 3.58
Pr (0.8299, 0.2646, 0.5795)  4 Pm 3.49-3.90, 5 Pr 3.53-3.75, 1 La 3.65
Pr (0.4347, 0.2646, 0.5795)  4 Pm 3.49-3.90, 5 Pr 3.53-3.75, 1 La 3.65
Pr (0.9676, 0.2958, 0.0536)  3 Pr 3.42-3.60, 1 La 3.48, 3 Pm 3.58-3.82
Pr (0.3283, 0.2958, 0.0536)  3 Pr 3.42-3.60, 1 La 3.48, 3 Pm 3.58-3.82
Pr (0.9295, 0.8590, 0.7381)  3 Pr 3.23-3.53, 2 Pm 3.54, 2 La 3.55

---

--- ii ---
A plane-wave DFT calculation with PBE-GGA was carried out for a relaxed structure of La2Pm5Pr12.

a = 10.2525 Å, b = 9.7290 Å, c = 8.1515 Å
α = 89.53°, β = 90.00°, γ = 121.80°
With the nearest neighbours (Å) after each atom.
Element x y z (fractional)
La (0.7843, 0.0000, 0.0000)  8 Pr 3.61-3.84, 2 Pm 3.84
La (0.2157, 0.0000, 0.0000)  8 Pr 3.61-3.84, 2 Pm 3.84
Pm (0.2493, 0.4986, 0.5136)  5 Pr 3.28-3.54
Pm (0.3533, 0.7066, 0.0780)  9 Pr 3.37-3.73
Pm (0.0000, 0.0000, 0.5000)  4 Pr 3.44
Pm (0.6467, 0.2934, 0.9220)  9 Pr 3.37-3.73
Pm (0.7507, 0.5014, 0.4864)  5 Pr 3.28-3.54
Pr (0.8376, 0.6753, 0.1234)  2 Pm 3.28-3.57, 2 Pr 3.60, 2 La 3.61
Pr (0.0352, 0.6175, 0.7912)  4 Pm 3.54-3.74, 6 Pr 3.60-3.93, 1 La 3.61
Pr (0.5824, 0.6175, 0.7912)  4 Pm 3.54-3.74, 6 Pr 3.60-3.93, 1 La 3.61
Pr (0.1690, 0.7893, 0.3885)  4 Pm 3.44-3.77, 5 Pr 3.56-3.68, 1 La 3.65
Pr (0.6203, 0.7893, 0.3885)  4 Pm 3.44-3.77, 5 Pr 3.56-3.68, 1 La 3.65
Pr (0.4491, 0.8982, 0.7116)  3 Pm 3.37-3.70, 6 Pr 3.56-3.69
Pr (0.5509, 0.1018, 0.2884)  3 Pm 3.37-3.70, 6 Pr 3.56-3.69
Pr (0.8310, 0.2107, 0.6115)  4 Pm 3.44-3.77, 5 Pr 3.56-3.68, 1 La 3.65
Pr (0.3797, 0.2107, 0.6115)  4 Pm 3.44-3.77, 5 Pr 3.56-3.68, 1 La 3.65
Pr (0.9648, 0.3825, 0.2088)  4 Pm 3.54-3.74, 6 Pr 3.60-3.93, 1 La 3.61
Pr (0.4176, 0.3825, 0.2088)  4 Pm 3.54-3.74, 6 Pr 3.60-3.93, 1 La 3.61
Pr (0.1624, 0.3247, 0.8766)  2 Pm 3.28-3.57, 2 Pr 3.60, 2 La 3.61

---

Most stable pick: ii. Distance to second place: 9 meV per atom.